1.
Here is CeU2ReC4 after structural relaxation from Alexandria via LeMat-Bulk. Energies are from PBE-GGA.

Computed properties:
The calculated total energy is -78.36 eV/f.u. As for the formation enthalpy at 0 K: -0.51 eV per formula unit. Its space-group type is Cmcm (63). The spin magnetization is 0.00 Bohr magnetons per cell.

Lattice parameters (Å, degrees): 6.125 6.125 11.740 90.00 90.00 146.58
Atoms (fractional coordinates):
Ce (0.109, 0.891, 0.750)
Ce (0.891, 0.109, 0.250)
U (0.371, 0.629, 0.546)
U (0.371, 0.629, 0.954)
U (0.629, 0.371, 0.046)
U (0.629, 0.371, 0.454)
Re (0.150, 0.850, 0.250)
Re (0.850, 0.150, 0.750)
C (0.000, 0.000, 0.000)
C (0.000, 0.000, 0.500)
C (0.260, 0.740, 0.118)
C (0.260, 0.740, 0.382)
C (0.446, 0.554, 0.750)
C (0.554, 0.446, 0.250)
C (0.740, 0.260, 0.618)
C (0.740, 0.260, 0.882)


2.
Here is Ce6Rh2C after structural relaxation from Alexandria via LeMat-Bulk. Energies are from PBE-GGA.

Computed properties:
The calculated total energy is -62.81 eV/f.u. As for the formation enthalpy at 0 K: -3.28 eV per formula unit. Its space-group type is P2_1/c (14). The spin magnetization is 7.09 Bohr magnetons per cell.

Lattice parameters (Å, degrees): 6.256 7.058 11.523 90.00 120.97 90.00
Atoms (fractional coordinates):
Ce (0.103, 0.039, 0.240)
Ce (0.103, 0.461, 0.740)
Ce (0.213, 0.684, 0.057)
Ce (0.213, 0.816, 0.557)
Ce (0.390, 0.168, 0.059)
Ce (0.390, 0.332, 0.559)
Ce (0.610, 0.668, 0.441)
Ce (0.610, 0.832, 0.941)
Ce (0.787, 0.184, 0.443)
Ce (0.787, 0.316, 0.943)
Ce (0.897, 0.539, 0.260)
Ce (0.897, 0.961, 0.760)
Rh (0.325, 0.119, 0.754)
Rh (0.325, 0.381, 0.254)
Rh (0.675, 0.619, 0.746)
Rh (0.675, 0.881, 0.246)
C (0.000, 0.000, 0.000)
C (0.000, 0.500, 0.500)


3.
Here is Ce2RhC after structural relaxation from Alexandria via LeMat-Bulk. Energies are from PBE-GGA.

Computed properties:
The calculated total energy is -29.33 eV/f.u. As for the formation enthalpy at 0 K: -0.88 eV per formula unit. Its space-group type is P4/mmm (123). The spin magnetization is 0.44 Bohr magnetons per cell.

Lattice parameters (Å, degrees): 3.219 3.219 6.811 90.00 90.00 90.00
Atoms (fractional coordinates):
Ce (0.000, 0.000, 0.205)
Ce (0.000, 0.000, 0.795)
Rh (0.500, 0.500, 0.500)
C (0.500, 0.500, 0.000)


4.
Here is Ce4Rh12C after structural relaxation from Alexandria via LeMat-Bulk. Energies are from PBE-GGA.

Computed properties:
The calculated total energy is -131.84 eV/f.u. As for the formation enthalpy at 0 K: -10.66 eV per formula unit. Its space-group type is Im-3m (229). The spin magnetization is 0.00 Bohr magnetons per cell.

Lattice parameters (Å, degrees): 7.109 7.109 7.109 109.47 109.47 109.47
Atoms (fractional coordinates):
Ce (0.000, 0.000, 0.500)
Ce (0.000, 0.500, 0.000)
Ce (0.500, 0.000, 0.000)
Ce (0.500, 0.500, 0.500)
Rh (0.000, 0.254, 0.254)
Rh (0.000, 0.746, 0.746)
Rh (0.250, 0.500, 0.750)
Rh (0.250, 0.750, 0.500)
Rh (0.254, 0.000, 0.254)
Rh (0.254, 0.254, 0.000)
Rh (0.500, 0.250, 0.750)
Rh (0.500, 0.750, 0.250)
Rh (0.746, 0.000, 0.746)
Rh (0.746, 0.746, 0.000)
Rh (0.750, 0.250, 0.500)
Rh (0.750, 0.500, 0.250)
C (0.000, 0.000, 0.000)


5.
Here is CeRhC after structural relaxation from Alexandria via LeMat-Bulk. Energies are from PBE-GGA.

Computed properties:
The calculated total energy is -21.93 eV/f.u. As for the formation enthalpy at 0 K: 0.58 eV per formula unit. Its space-group type is R3m (160). The spin magnetization is 0.00 Bohr magnetons per cell.

Lattice parameters (Å, degrees): 5.925 5.925 5.925 30.94 30.94 30.94
Atoms (fractional coordinates):
Ce (0.000, 0.000, 0.000)
Rh (0.170, 0.170, 0.170)
C (0.452, 0.452, 0.452)


6.
Here is Ce2RhC after structural relaxation from Alexandria via LeMat-Bulk. Energies are from PBE-GGA.

Computed properties:
The calculated total energy is -28.76 eV/f.u. As for the formation enthalpy at 0 K: -0.32 eV per formula unit. Its space-group type is R-3m (166). The spin magnetization is 0.00 Bohr magnetons per cell.

Lattice parameters (Å, degrees): 8.237 8.237 8.237 23.93 23.93 23.93
Atoms (fractional coordinates):
Ce (0.105, 0.105, 0.105)
Ce (0.895, 0.895, 0.895)
Rh (0.000, 0.000, 0.000)
C (0.500, 0.500, 0.500)


7.
Here is Ce2Rh6C after structural relaxation from Alexandria via LeMat-Bulk. Energies are from PBE-GGA.

Computed properties:
The calculated total energy is -70.73 eV/f.u. As for the formation enthalpy at 0 K: -5.53 eV per formula unit. Its space-group type is Fm-3m (225). The spin magnetization is 0.00 Bohr magnetons per cell.

Lattice parameters (Å, degrees): 5.852 5.852 5.852 60.00 60.00 60.00
Atoms (fractional coordinates):
Ce (0.250, 0.250, 0.250)
Ce (0.750, 0.750, 0.750)
Rh (0.248, 0.248, 0.752)
Rh (0.248, 0.752, 0.248)
Rh (0.248, 0.752, 0.752)
Rh (0.752, 0.248, 0.248)
Rh (0.752, 0.248, 0.752)
Rh (0.752, 0.752, 0.248)
C (0.500, 0.500, 0.500)


8.
Here is Ce2RuC2 after structural relaxation from Alexandria via LeMat-Bulk. Energies are from PBE-GGA.

Computed properties:
The calculated total energy is -40.85 eV/f.u. As for the formation enthalpy at 0 K: -1.26 eV per formula unit. Its space-group type is C2/m (12). The spin magnetization is 0.00 Bohr magnetons per cell.

Lattice parameters (Å, degrees): 6.113 6.113 6.694 116.68 116.68 50.01
Atoms (fractional coordinates):
Ce (0.034, 0.034, 0.286)
Ce (0.313, 0.313, 0.870)
Ce (0.687, 0.687, 0.130)
Ce (0.966, 0.966, 0.714)
Ru (0.363, 0.363, 0.376)
Ru (0.637, 0.637, 0.624)
C (0.170, 0.170, 0.085)
C (0.494, 0.494, 0.726)
C (0.506, 0.506, 0.274)
C (0.830, 0.830, 0.915)


9.
Here is Ce12Ru6C after structural relaxation from Alexandria via LeMat-Bulk. Energies are from PBE-GGA.

Computed properties:
The calculated total energy is -139.50 eV/f.u. As for the formation enthalpy at 0 K: -3.42 eV per formula unit. Its space-group type is R-3 (148). The spin magnetization is 4.06 Bohr magnetons per cell.

Lattice parameters (Å, degrees): 7.902 7.902 7.902 96.29 96.29 96.29
Atoms (fractional coordinates):
Ce (0.044, 0.697, 0.897)
Ce (0.103, 0.956, 0.303)
Ce (0.194, 0.397, 0.566)
Ce (0.303, 0.103, 0.956)
Ce (0.397, 0.566, 0.194)
Ce (0.434, 0.806, 0.603)
Ce (0.566, 0.194, 0.397)
Ce (0.603, 0.434, 0.806)
Ce (0.697, 0.897, 0.044)
Ce (0.806, 0.603, 0.434)
Ce (0.897, 0.044, 0.697)
Ce (0.956, 0.303, 0.103)
Ru (0.129, 0.634, 0.322)
Ru (0.322, 0.129, 0.634)
Ru (0.366, 0.678, 0.871)
Ru (0.634, 0.322, 0.129)
Ru (0.678, 0.871, 0.366)
Ru (0.871, 0.366, 0.678)
C (0.000, 0.000, 0.000)


10.
Here is CeRu2C3 after structural relaxation from Alexandria via LeMat-Bulk. Energies are from PBE-GGA.

Computed properties:
The calculated total energy is -51.49 eV/f.u. As for the formation enthalpy at 0 K: 0.67 eV per formula unit. Its space-group type is Cmcm (63). The spin magnetization is 0.60 Bohr magnetons per cell.

Lattice parameters (Å, degrees): 5.751 5.751 5.280 90.00 90.00 105.07
Atoms (fractional coordinates):
Ce (0.210, 0.790, 0.750)
Ce (0.790, 0.210, 0.250)
Ru (0.307, 0.307, 0.000)
Ru (0.307, 0.307, 0.500)
Ru (0.693, 0.693, 0.000)
Ru (0.693, 0.693, 0.500)
C (0.031, 0.164, 0.750)
C (0.164, 0.031, 0.250)
C (0.414, 0.586, 0.250)
C (0.586, 0.414, 0.750)
C (0.836, 0.969, 0.750)
C (0.969, 0.836, 0.250)


11.
Here is Ce3Ru2C4 after structural relaxation from Alexandria via LeMat-Bulk. Energies are from PBE-GGA.

Computed properties:
The calculated total energy is -74.34 eV/f.u. As for the formation enthalpy at 0 K: -1.09 eV per formula unit. Its space-group type is C2/m (12). The spin magnetization is 0.00 Bohr magnetons per cell.

Lattice parameters (Å, degrees): 7.132 7.132 5.716 108.21 108.21 28.63
Atoms (fractional coordinates):
Ce (0.000, 0.000, 0.000)
Ce (0.138, 0.138, 0.530)
Ce (0.862, 0.862, 0.470)
Ru (0.321, 0.321, 0.977)
Ru (0.679, 0.679, 0.023)
C (0.228, 0.228, 0.209)
C (0.489, 0.489, 0.369)
C (0.511, 0.511, 0.631)
C (0.772, 0.772, 0.791)


12.
Here is CeRu4C after structural relaxation from Alexandria via LeMat-Bulk. Energies are from PBE-GGA.

Computed properties:
The calculated total energy is -51.72 eV/f.u. As for the formation enthalpy at 0 K: 0.54 eV per formula unit. Its space-group type is Pmma (51). The spin magnetization is 0.00 Bohr magnetons per cell.

Lattice parameters (Å, degrees): 8.234 4.117 5.589 90.00 90.00 90.00
Atoms (fractional coordinates):
Ce (0.250, 0.000, 0.000)
Ce (0.750, 0.000, 0.000)
Ru (0.000, 0.000, 0.500)
Ru (0.000, 0.500, 0.201)
Ru (0.000, 0.500, 0.799)
Ru (0.250, 0.500, 0.500)
Ru (0.500, 0.000, 0.500)
Ru (0.500, 0.500, 0.201)
Ru (0.500, 0.500, 0.799)
Ru (0.750, 0.500, 0.500)
C (0.250, 0.000, 0.500)
C (0.750, 0.000, 0.500)